This record from the Alexandria database describes a relaxed structure of NaNd2SmSe4. The functional is GGA-PBE.

```
NaNd2SmSe4
1.0
7.308 0.000 0.000
0.000 4.199 0.000
-2.401 0.000 6.906
Na Nd Sm Se
1 2 1 4
direct
0.000 0.000 0.000 Na
0.500 0.000 0.500 Nd
0.500 0.500 0.000 Nd
0.000 0.500 0.500 Sm
0.244 0.000 0.749 Se
0.248 0.500 0.251 Se
0.752 0.500 0.749 Se
0.756 0.000 0.251 Se
```

Results
**E**: -43.6 eV/cell
**Magnetization**: 0.0 μB per cell
**ΔE_f (raw)**: -1.765 eV/atom
**Volume**: 211.9 Å³/f.u.